--- i ---
! AgIrPb (GGA-PBE, relaxed); values from VASP
&SYSTEM
  ibrav = 0, nat = 6, ntyp = 3
/
ATOMIC_SPECIES
Pb 207.20 Pb.upf
Ir 192.22 Ir.upf
Ag 107.87 Ag.upf
CELL_PARAMETERS angstrom
-2.800 0.757 1.152
1.023 -1.990 3.793
3.373 7.710 3.134
ATOMIC_POSITIONS crystal
Pb 0.500 0.000 0.654
Pb 0.000 0.500 0.154
Ir 0.000 0.500 0.564
Ir 0.500 0.000 0.064
Ag 0.500 0.500 0.857
Ag 0.000 0.000 0.357
! Total moment in μB per formula unit: 0.0

--- ii ---
! AgIrPb (GGA-PBE, relaxed); values from VASP
&SYSTEM
  ibrav = 0, nat = 3, ntyp = 3
/
ATOMIC_SPECIES
Pb 207.20 Pb.upf
Ag 107.87 Ag.upf
Ir 192.22 Ir.upf
CELL_PARAMETERS angstrom
4.537 0.000 0.000
2.269 3.929 0.000
2.269 1.310 3.705
ATOMIC_POSITIONS crystal
Pb 0.000 0.000 0.000
Ag 0.500 0.500 0.500
Ir 0.750 0.750 0.750
! Total moment in μB per formula unit: 0.0

--- iii ---
! AgIrPb (GGA-PBE, relaxed); values from VASP
&SYSTEM
  ibrav = 0, nat = 3, ntyp = 3
/
ATOMIC_SPECIES
Ir 192.22 Ir.upf
Ag 107.87 Ag.upf
Pb 207.20 Pb.upf
CELL_PARAMETERS angstrom
-4.826 0.908 -1.837
-4.149 0.532 3.161
4.832 1.759 -1.024
ATOMIC_POSITIONS crystal
Ir 0.333 0.333 0.000
Ag 0.993 0.993 0.000
Pb 0.673 0.673 0.000
! Total moment in μB per formula unit: 0.0

--- iv ---
! AgIrPb (GGA-PBE, relaxed); values from VASP
&SYSTEM
  ibrav = 0, nat = 3, ntyp = 3
/
ATOMIC_SPECIES
Ag 107.87 Ag.upf
Pb 207.20 Pb.upf
Ir 192.22 Ir.upf
CELL_PARAMETERS angstrom
3.110 -0.001 -0.001
-1.554 2.690 0.001
-0.007 -1.763 7.340
ATOMIC_POSITIONS crystal
Ag 0.989 0.441 0.130
Pb 0.123 0.713 0.527
Ir 0.556 0.577 0.828
! Total moment in μB per formula unit: 0.0

We find ii to be the most stable, with the next structure 7.8 kJ/mol of atoms higher.